## HfTiMnO6 (GGA+U)

Data for crystalline HfTiMnO6 at its relaxed geometry. Values from VASP.

The structure in Quantum ESPRESSO input format:
```
&SYSTEM
  ibrav = 0, nat = 18, ntyp = 4
/
ATOMIC_SPECIES
Hf 178.49 Hf.upf
Ti 47.87 Ti.upf
Mn 54.94 Mn.upf
O 16.00 O.upf
ATOMIC_POSITIONS crystal
Hf 0.000 0.000 0.000
Hf 0.500 0.500 0.500
Ti 0.000 0.000 0.667
Ti 0.500 0.500 0.167
Mn 0.000 0.000 0.332
Mn 0.500 0.500 0.832
O 0.185 0.185 0.496
O 0.197 0.197 0.174
O 0.203 0.203 0.824
O 0.297 0.703 0.324
O 0.303 0.697 0.674
O 0.315 0.685 0.996
O 0.685 0.315 0.996
O 0.697 0.303 0.674
O 0.703 0.297 0.324
O 0.797 0.797 0.824
O 0.803 0.803 0.174
O 0.815 0.815 0.496
CELL_PARAMETERS angstrom
4.666 0.000 0.000
0.000 4.666 0.000
0.000 0.000 9.149
```

Output
Energy in eV/atom: -8.6948
M_tot in μB/cell: 6.0